*a*
# ZnNiAu3, optimized geometry, DFT PBE-GGA
# volume	158.7	Å³ per cell
# DOS(E_F)	5.01	states/eV per cell
data_ZnNiAu3
_chemical_formula_sum 'Zn2 Ni2 Au6'
_cell_length_a 9.469
_cell_length_b 9.469
_cell_length_c 4.131
_cell_angle_alpha 90.00
_cell_angle_beta 90.00
_cell_angle_gamma 154.64
_symmetry_space_group_name_H-M 'P 1'
_symmetry_Int_Tables_number 1
_symmetry_space_group_name_Hall 'P 1'
loop_
_atom_site_label
_atom_site_type_symbol
_atom_site_fract_x
_atom_site_fract_y
_atom_site_fract_z
_atom_site_occupancy
Zn1 Zn 0.153 0.847 0.750 1
Zn2 Zn 0.847 0.153 0.250 1
Ni1 Ni 0.346 0.654 0.750 1
Ni2 Ni 0.654 0.346 0.250 1
Au1 Au 0.059 0.941 0.250 1
Au2 Au 0.250 0.750 0.250 1
Au3 Au 0.442 0.558 0.250 1
Au4 Au 0.558 0.442 0.750 1
Au5 Au 0.750 0.250 0.750 1
Au6 Au 0.941 0.059 0.750 1

---

*b*
# ZnNiAu3, optimized geometry, DFT PBE-GGA
# volume	108.3	Å³ per cell
# DOS(E_F)	5.03	states/eV per cell
data_ZnNiAu3
_chemical_formula_sum 'Zn1 Ni1 Au3'
_cell_length_a 4.766
_cell_length_b 4.766
_cell_length_c 4.766
_cell_angle_alpha 90.00
_cell_angle_beta 90.00
_cell_angle_gamma 90.00
_symmetry_space_group_name_H-M 'P 1'
_symmetry_Int_Tables_number 1
_symmetry_space_group_name_Hall 'P 1'
loop_
_atom_site_label
_atom_site_type_symbol
_atom_site_fract_x
_atom_site_fract_y
_atom_site_fract_z
_atom_site_occupancy
Zn1 Zn 0.000 0.000 0.000 1
Ni1 Ni 0.500 0.500 0.500 1
Au1 Au 0.000 0.500 0.500 1
Au2 Au 0.500 0.000 0.500 1
Au3 Au 0.500 0.500 0.000 1

---

The calculated energies rank the structures as follows, beginning with the most stable: *a*, *b*.

---

*a*
# Zn4Ni2Au, optimized geometry, DFT PBE-GGA
# volume	203.4	Å³ per cell
# DOS(E_F)	3.16	states/eV per cell
data_Zn4Ni2Au
_chemical_formula_sum 'Zn8 Ni4 Au2'
_cell_length_a 6.417
_cell_length_b 6.417
_cell_length_c 6.417
_cell_angle_alpha 109.73
_cell_angle_beta 109.73
_cell_angle_gamma 108.95
_symmetry_space_group_name_H-M 'P 1'
_symmetry_Int_Tables_number 1
_symmetry_space_group_name_Hall 'P 1'
loop_
_atom_site_label
_atom_site_type_symbol
_atom_site_fract_x
_atom_site_fract_y
_atom_site_fract_z
_atom_site_occupancy
Zn1 Zn 0.099 0.528 0.745 1
Zn2 Zn 0.104 0.033 0.755 1
Zn3 Zn 0.278 0.349 0.245 1
Zn4 Zn 0.472 0.217 0.571 1
Zn5 Zn 0.646 0.901 0.429 1
Zn6 Zn 0.651 0.896 0.929 1
Zn7 Zn 0.783 0.354 0.255 1
Zn8 Zn 0.967 0.722 0.071 1
Ni1 Ni 0.010 0.125 0.385 1
Ni2 Ni 0.375 0.990 0.115 1
Ni3 Ni 0.740 0.625 0.615 1
Ni4 Ni 0.875 0.260 0.885 1
Au1 Au 0.250 0.750 0.500 1
Au2 Au 0.500 0.500 0.000 1

---

*b*
# Zn4Ni2Au, optimized geometry, DFT PBE-GGA
# volume	104.7	Å³ per cell
# DOS(E_F)	1.93	states/eV per cell
data_Zn4Ni2Au
_chemical_formula_sum 'Zn4 Ni2 Au1'
_cell_length_a 5.153
_cell_length_b 5.153
_cell_length_c 5.153
_cell_angle_alpha 107.05
_cell_angle_beta 107.05
_cell_angle_gamma 114.44
_symmetry_space_group_name_H-M 'P 1'
_symmetry_Int_Tables_number 1
_symmetry_space_group_name_Hall 'P 1'
loop_
_atom_site_label
_atom_site_type_symbol
_atom_site_fract_x
_atom_site_fract_y
_atom_site_fract_z
_atom_site_occupancy
Zn1 Zn 0.000 0.000 0.500 1
Zn2 Zn 0.000 0.500 0.000 1
Zn3 Zn 0.500 0.000 0.000 1
Zn4 Zn 0.500 0.500 0.500 1
Ni1 Ni 0.000 0.500 0.500 1
Ni2 Ni 0.500 0.000 0.500 1
Au1 Au 0.000 0.000 0.000 1

---

The calculated energies rank the structures as follows, beginning with the most stable: *b*, *a*.

---

*a*
# Zn2NiAu4, optimized geometry, DFT PBE-GGA
# volume	120.1	Å³ per cell
# DOS(E_F)	2.31	states/eV per cell
data_Zn2NiAu4
_chemical_formula_sum 'Zn2 Ni1 Au4'
_cell_length_a 5.502
_cell_length_b 5.502
_cell_length_c 5.502
_cell_angle_alpha 118.63
_cell_angle_beta 118.63
_cell_angle_gamma 92.38
_symmetry_space_group_name_H-M 'P 1'
_symmetry_Int_Tables_number 1
_symmetry_space_group_name_Hall 'P 1'
loop_
_atom_site_label
_atom_site_type_symbol
_atom_site_fract_x
_atom_site_fract_y
_atom_site_fract_z
_atom_site_occupancy
Zn1 Zn 0.000 0.500 0.500 1
Zn2 Zn 0.500 0.000 0.500 1
Ni1 Ni 0.000 0.000 0.000 1
Au1 Au 0.000 0.000 0.500 1
Au2 Au 0.000 0.500 0.000 1
Au3 Au 0.500 0.000 0.000 1
Au4 Au 0.500 0.500 0.500 1

---

*b*
# Zn2NiAu4, optimized geometry, DFT PBE-GGA
# volume	237.3	Å³ per cell
# DOS(E_F)	7.45	states/eV per cell
data_Zn2NiAu4
_chemical_formula_sum 'Zn4 Ni2 Au8'
_cell_length_a 6.755
_cell_length_b 6.755
_cell_length_c 6.755
_cell_angle_alpha 109.68
_cell_angle_beta 109.68
_cell_angle_gamma 109.06
_symmetry_space_group_name_H-M 'P 1'
_symmetry_Int_Tables_number 1
_symmetry_space_group_name_Hall 'P 1'
loop_
_atom_site_label
_atom_site_type_symbol
_atom_site_fract_x
_atom_site_fract_y
_atom_site_fract_z
_atom_site_occupancy
Zn1 Zn 0.375 0.003 0.128 1
Zn2 Zn 0.753 0.625 0.628 1
Zn3 Zn 0.875 0.247 0.872 1
Zn4 Zn 0.997 0.125 0.372 1
Ni1 Ni 0.250 0.750 0.500 1
Ni2 Ni 0.500 0.500 0.000 1
Au1 Au 0.129 0.538 0.749 1
Au2 Au 0.130 0.039 0.751 1
Au3 Au 0.288 0.379 0.249 1
Au4 Au 0.462 0.211 0.592 1
Au5 Au 0.620 0.871 0.408 1
Au6 Au 0.621 0.870 0.908 1
Au7 Au 0.789 0.380 0.251 1
Au8 Au 0.961 0.712 0.092 1

---

The calculated energies rank the structures as follows, beginning with the most stable: *a*, *b*.

---

*a*
# Zn6NiAu, optimized geometry, DFT PBE-GGA
# volume	118.0	Å³ per cell
# DOS(E_F)	2.59	states/eV per cell
data_Zn6NiAu
_chemical_formula_sum 'Zn6 Ni1 Au1'
_cell_length_a 6.386
_cell_length_b 6.386
_cell_length_c 4.828
_cell_angle_alpha 111.22
_cell_angle_beta 111.22
_cell_angle_gamma 40.51
_symmetry_space_group_name_H-M 'P 1'
_symmetry_Int_Tables_number 1
_symmetry_space_group_name_Hall 'P 1'
loop_
_atom_site_label
_atom_site_type_symbol
_atom_site_fract_x
_atom_site_fract_y
_atom_site_fract_z
_atom_site_occupancy
Zn1 Zn 0.120 0.120 0.095 1
Zn2 Zn 0.262 0.262 0.687 1
Zn3 Zn 0.370 0.370 0.300 1
Zn4 Zn 0.630 0.630 0.700 1
Zn5 Zn 0.738 0.738 0.313 1
Zn6 Zn 0.880 0.880 0.905 1
Ni1 Ni 0.500 0.500 0.000 1
Au1 Au 0.000 0.000 0.500 1

---

*b*
# Zn6NiAu, optimized geometry, DFT PBE-GGA
# volume	115.1	Å³ per cell
# DOS(E_F)	1.42	states/eV per cell
data_Zn6NiAu
_chemical_formula_sum 'Zn6 Ni1 Au1'
_cell_length_a 3.914
_cell_length_b 3.914
_cell_length_c 7.512
_cell_angle_alpha 90.00
_cell_angle_beta 90.00
_cell_angle_gamma 90.00
_symmetry_space_group_name_H-M 'P 1'
_symmetry_Int_Tables_number 1
_symmetry_space_group_name_Hall 'P 1'
loop_
_atom_site_label
_atom_site_type_symbol
_atom_site_fract_x
_atom_site_fract_y
_atom_site_fract_z
_atom_site_occupancy
Zn1 Zn 0.000 0.000 0.000 1
Zn2 Zn 0.000 0.000 0.500 1
Zn3 Zn 0.000 0.500 0.232 1
Zn4 Zn 0.000 0.500 0.768 1
Zn5 Zn 0.500 0.000 0.232 1
Zn6 Zn 0.500 0.000 0.768 1
Ni1 Ni 0.500 0.500 0.000 1
Au1 Au 0.500 0.500 0.500 1

---

The calculated energies rank the structures as follows, beginning with the most stable: *b*, *a*.

---

*a*
# Zn2NiAu6, optimized geometry, DFT PBE-GGA
# volume	154.9	Å³ per cell
# DOS(E_F)	3.05	states/eV per cell
data_Zn2NiAu6
_chemical_formula_sum 'Zn2 Ni1 Au6'
_cell_length_a 6.222
_cell_length_b 6.222
_cell_length_c 6.222
_cell_angle_alpha 135.24
_cell_angle_beta 106.12
_cell_angle_gamma 90.70
_symmetry_space_group_name_H-M 'P 1'
_symmetry_Int_Tables_number 1
_symmetry_space_group_name_Hall 'P 1'
loop_
_atom_site_label
_atom_site_type_symbol
_atom_site_fract_x
_atom_site_fract_y
_atom_site_fract_z
_atom_site_occupancy
Zn1 Zn 0.184 0.184 0.000 1
Zn2 Zn 0.816 0.816 0.000 1
Ni1 Ni 0.500 0.500 0.000 1
Au1 Au 0.027 0.337 0.690 1
Au2 Au 0.310 0.000 0.310 1
Au3 Au 0.354 0.663 0.690 1
Au4 Au 0.646 0.337 0.310 1
Au5 Au 0.690 0.000 0.690 1
Au6 Au 0.973 0.663 0.310 1

---

*b*
# Zn2NiAu6, optimized geometry, DFT PBE-GGA
# volume	149.2	Å³ per cell
# DOS(E_F)	2.66	states/eV per cell
data_Zn2NiAu6
_chemical_formula_sum 'Zn2 Ni1 Au6'
_cell_length_a 4.891
_cell_length_b 4.891
_cell_length_c 8.476
_cell_angle_alpha 105.26
_cell_angle_beta 105.26
_cell_angle_gamma 50.25
_symmetry_space_group_name_H-M 'P 1'
_symmetry_Int_Tables_number 1
_symmetry_space_group_name_Hall 'P 1'
loop_
_atom_site_label
_atom_site_type_symbol
_atom_site_fract_x
_atom_site_fract_y
_atom_site_fract_z
_atom_site_occupancy
Zn1 Zn 0.163 0.163 0.219 1
Zn2 Zn 0.837 0.837 0.781 1
Ni1 Ni 0.500 0.500 0.000 1
Au1 Au 0.162 0.162 0.904 1
Au2 Au 0.168 0.168 0.558 1
Au3 Au 0.497 0.497 0.315 1
Au4 Au 0.503 0.503 0.685 1
Au5 Au 0.832 0.832 0.442 1
Au6 Au 0.838 0.838 0.096 1

---

The calculated energies rank the structures as follows, beginning with the most stable: *b*, *a*.

---

*a*
# ZnNi3Au, optimized geometry, DFT PBE-GGA
# volume	80.0	Å³ per cell
# DOS(E_F)	5.34	states/eV per cell
data_ZnNi3Au
_chemical_formula_sum 'Zn1 Ni3 Au1'
_cell_length_a 4.308
_cell_length_b 4.308
_cell_length_c 4.308
_cell_angle_alpha 90.00
_cell_angle_beta 90.00
_cell_angle_gamma 90.00
_symmetry_space_group_name_H-M 'P 1'
_symmetry_Int_Tables_number 1
_symmetry_space_group_name_Hall 'P 1'
loop_
_atom_site_label
_atom_site_type_symbol
_atom_site_fract_x
_atom_site_fract_y
_atom_site_fract_z
_atom_site_occupancy
Zn1 Zn 0.000 0.000 0.000 1
Ni1 Ni 0.000 0.000 0.500 1
Ni2 Ni 0.000 0.500 0.000 1
Ni3 Ni 0.500 0.000 0.000 1
Au1 Au 0.500 0.500 0.500 1

---

*b*
# ZnNi3Au, optimized geometry, DFT PBE-GGA
# volume	102.2	Å³ per cell
# DOS(E_F)	6.95	states/eV per cell
data_ZnNi3Au
_chemical_formula_sum 'Zn1 Ni3 Au1'
_cell_length_a 4.676
_cell_length_b 4.676
_cell_length_c 4.676
_cell_angle_alpha 90.00
_cell_angle_beta 90.00
_cell_angle_gamma 90.00
_symmetry_space_group_name_H-M 'P 1'
_symmetry_Int_Tables_number 1
_symmetry_space_group_name_Hall 'P 1'
loop_
_atom_site_label
_atom_site_type_symbol
_atom_site_fract_x
_atom_site_fract_y
_atom_site_fract_z
_atom_site_occupancy
Zn1 Zn 0.000 0.000 0.000 1
Ni1 Ni 0.000 0.500 0.500 1
Ni2 Ni 0.500 0.000 0.500 1
Ni3 Ni 0.500 0.500 0.000 1
Au1 Au 0.500 0.500 0.500 1

---

The calculated energies rank the structures as follows, beginning with the most stable: *a*, *b*.

---

*a*
# ZrNiAu4, optimized geometry, DFT PBE-GGA
# volume	111.9	Å³ per cell
# DOS(E_F)	4.79	states/eV per cell
data_ZrNiAu4
_chemical_formula_sum 'Zr1 Ni1 Au4'
_cell_length_a 5.409
_cell_length_b 5.409
_cell_length_c 5.409
_cell_angle_alpha 60.00
_cell_angle_beta 60.00
_cell_angle_gamma 60.00
_symmetry_space_group_name_H-M 'P 1'
_symmetry_Int_Tables_number 1
_symmetry_space_group_name_Hall 'P 1'
loop_
_atom_site_label
_atom_site_type_symbol
_atom_site_fract_x
_atom_site_fract_y
_atom_site_fract_z
_atom_site_occupancy
Zr1 Zr 0.000 0.000 0.000 1
Ni1 Ni 0.250 0.250 0.250 1
Au1 Au 0.126 0.625 0.625 1
Au2 Au 0.625 0.126 0.625 1
Au3 Au 0.625 0.625 0.126 1
Au4 Au 0.625 0.625 0.625 1

---

*b*
# ZrNiAu4, optimized geometry, DFT PBE-GGA
# volume	104.3	Å³ per cell
# DOS(E_F)	3.37	states/eV per cell
data_ZrNiAu4
_chemical_formula_sum 'Zr1 Ni1 Au4'
_cell_length_a 5.054
_cell_length_b 5.054
_cell_length_c 5.051
_cell_angle_alpha 100.74
_cell_angle_beta 100.74
_cell_angle_gamma 119.55
_symmetry_space_group_name_H-M 'P 1'
_symmetry_Int_Tables_number 1
_symmetry_space_group_name_Hall 'P 1'
loop_
_atom_site_label
_atom_site_type_symbol
_atom_site_fract_x
_atom_site_fract_y
_atom_site_fract_z
_atom_site_occupancy
Zr1 Zr 0.000 0.000 0.000 1
Ni1 Ni 0.500 0.500 0.500 1
Au1 Au 0.166 0.834 0.500 1
Au2 Au 0.338 0.662 0.000 1
Au3 Au 0.662 0.338 0.000 1
Au4 Au 0.834 0.166 0.500 1

---

The calculated energies rank the structures as follows, beginning with the most stable: *b*, *a*.

---

*a*
# Zr4NiAu, optimized geometry, DFT PBE-GGA
# volume	241.5	Å³ per cell
# DOS(E_F)	11.55	states/eV per cell
data_Zr4NiAu
_chemical_formula_sum 'Zr8 Ni2 Au2'
_cell_length_a 6.673
_cell_length_b 6.673
_cell_length_c 5.424
_cell_angle_alpha 90.00
_cell_angle_beta 90.00
_cell_angle_gamma 90.00
_symmetry_space_group_name_H-M 'P 1'
_symmetry_Int_Tables_number 1
_symmetry_space_group_name_Hall 'P 1'
loop_
_atom_site_label
_atom_site_type_symbol
_atom_site_fract_x
_atom_site_fract_y
_atom_site_fract_z
_atom_site_occupancy
Zr1 Zr 0.148 0.329 0.000 1
Zr2 Zr 0.148 0.671 0.500 1
Zr3 Zr 0.329 0.148 0.500 1
Zr4 Zr 0.329 0.852 0.000 1
Zr5 Zr 0.671 0.148 0.000 1
Zr6 Zr 0.671 0.852 0.500 1
Zr7 Zr 0.852 0.329 0.500 1
Zr8 Zr 0.852 0.671 0.000 1
Ni1 Ni 0.000 0.000 0.250 1
Ni2 Ni 0.000 0.000 0.750 1
Au1 Au 0.500 0.500 0.250 1
Au2 Au 0.500 0.500 0.750 1

---

*b*
# Zr4NiAu, optimized geometry, DFT PBE-GGA
# volume	124.1	Å³ per cell
# DOS(E_F)	5.99	states/eV per cell
data_Zr4NiAu
_chemical_formula_sum 'Zr4 Ni1 Au1'
_cell_length_a 5.600
_cell_length_b 5.600
_cell_length_c 5.600
_cell_angle_alpha 60.00
_cell_angle_beta 60.00
_cell_angle_gamma 60.00
_symmetry_space_group_name_H-M 'P 1'
_symmetry_Int_Tables_number 1
_symmetry_space_group_name_Hall 'P 1'
loop_
_atom_site_label
_atom_site_type_symbol
_atom_site_fract_x
_atom_site_fract_y
_atom_site_fract_z
_atom_site_occupancy
Zr1 Zr 0.125 0.125 0.125 1
Zr2 Zr 0.125 0.125 0.624 1
Zr3 Zr 0.125 0.624 0.125 1
Zr4 Zr 0.624 0.125 0.125 1
Ni1 Ni 0.500 0.500 0.500 1
Au1 Au 0.750 0.750 0.750 1

---

The calculated energies rank the structures as follows, beginning with the most stable: *a*, *b*.